Pm3Pr2SmN6 after structural relaxation. Source: Alexandria via LeMat-Bulk, functional PBE.

a = 15.8452 Å, b = 3.6366 Å, c = 7.2738 Å
α = 90.00°, β = 103.27°, γ = 90.00°
Space group C2/m (No. 12)
Inequivalent atoms, fractional coordinates:
Pm: 0.0000 0.0000 0.0000 (multiplicity 2)
Pm: 0.1656 0.5000 0.3339 (multiplicity 4)
Pr: 0.1660 0.5000 0.8318 (multiplicity 4)
Sm: 0.0000 0.0000 0.5000 (multiplicity 2)
N: 0.0012 0.5000 0.2522 (multiplicity 4)
N: 0.1649 0.0000 0.0859 (multiplicity 4)
N: 0.1653 0.0000 0.5792 (multiplicity 4)

- calculated density (Mg/m³) = 7.74
- raw formation energy (eV/f.u.) = -16.68
- electronic total energy (Ry per atom) = -0.583

***

Pm3PrSm2N6 after structural relaxation. Source: Alexandria via LeMat-Bulk, functional PBE.

a = 6.2681 Å, b = 10.8570 Å, c = 6.2664 Å
α = 90.00°, β = 109.46°, γ = 90.00°
Space group C2/m (No. 12)
Inequivalent atoms, fractional coordinates:
Pm: 0.0000 0.0000 0.0000 (multiplicity 2)
Pm: 0.0000 0.3326 0.0000 (multiplicity 4)
Pr: 0.0000 0.5000 0.5000 (multiplicity 2)
Sm: 0.0000 0.1666 0.5000 (multiplicity 4)
N: 0.2458 0.0000 0.7501 (multiplicity 4)
N: 0.2477 0.1687 0.2493 (multiplicity 8)

- calculated density (Mg/m³) = 7.93
- raw formation energy (eV/f.u.) = -17.09
- electronic total energy (Ry per atom) = -0.585

***

PmPrSmN3 after structural relaxation. Source: Alexandria via LeMat-Bulk, functional PBE.

a = 6.2148 Å, b = 3.5274 Å, c = 9.4683 Å
α = 90.00°, β = 98.19°, γ = 90.00°
Space group P2_1/m (No. 11)
Inequivalent atoms, fractional coordinates:
Pm: 0.1753 0.2500 0.1305 (multiplicity 2)
Pr: 0.3043 0.2500 0.7805 (multiplicity 2)
Sm: 0.2364 0.7500 0.4494 (multiplicity 2)
N: 0.0268 0.7500 0.6520 (multiplicity 2)
N: 0.2278 0.7500 0.9798 (multiplicity 2)
N: 0.4699 0.2500 0.3338 (multiplicity 2)

- calculated density (Mg/m³) = 7.73
- raw formation energy (eV/f.u.) = -7.35
- electronic total energy (Ry per atom) = -0.571

***

PmPr2SmN4 after structural relaxation. Source: Alexandria via LeMat-Bulk, functional PBE.

a = 6.3127 Å, b = 3.6477 Å, c = 6.3151 Å
α = 90.00°, β = 109.41°, γ = 90.00°
Space group P2/m (No. 10)
Inequivalent atoms, fractional coordinates:
Pm: 0.0000 0.0000 0.0000 (multiplicity 1)
Pr: 0.0000 0.5000 0.5000 (multiplicity 1)
Pr: 0.5000 0.0000 0.5000 (multiplicity 1)
Sm: 0.5000 0.5000 0.0000 (multiplicity 1)
N: 0.2489 0.5000 0.2447 (multiplicity 2)
N: 0.2526 0.0000 0.7557 (multiplicity 2)

- calculated density (Mg/m³) = 7.67
- raw formation energy (eV/f.u.) = -10.95
- electronic total energy (Ry per atom) = -0.581

***

Pm2Pr4Sn3N2 after structural relaxation. Source: Alexandria via LeMat-Bulk, functional PBE.

a = 4.9174 Å, b = 4.9174 Å, c = 25.9504 Å
α = 90.00°, β = 90.00°, γ = 90.00°
Space group I4/mmm (No. 139)
Inequivalent atoms, fractional coordinates:
Pm: 0.0000 0.0000 0.1938 (multiplicity 4)
Pr: 0.0000 0.5000 0.0848 (multiplicity 8)
Sn: 0.0000 0.0000 0.3223 (multiplicity 4)
Sn: 0.0000 0.0000 0.5000 (multiplicity 2)
N: 0.0000 0.0000 0.1055 (multiplicity 4)

- calculated density (Mg/m³) = 6.55
- raw formation energy (eV/f.u.) = -9.99
- electronic total energy (Ry per atom) = -0.449

***

Pm4Pr2Sn3N2 after structural relaxation. Source: Alexandria via LeMat-Bulk, functional PBE.

a = 4.8606 Å, b = 4.8606 Å, c = 25.9514 Å
α = 90.00°, β = 90.00°, γ = 90.00°
Space group I4/mmm (No. 139)
Inequivalent atoms, fractional coordinates:
Pm: 0.0000 0.5000 0.0833 (multiplicity 8)
Pr: 0.0000 0.0000 0.1929 (multiplicity 4)
Sn: 0.0000 0.0000 0.3243 (multiplicity 4)
Sn: 0.0000 0.0000 0.5000 (multiplicity 2)
N: 0.0000 0.0000 0.1018 (multiplicity 4)

- calculated density (Mg/m³) = 6.75
- raw formation energy (eV/f.u.) = -10.52
- electronic total energy (Ry per atom) = -0.453